# 1
BeZnPt2 | PBE-GGA | relaxed

Cell: 4.214 4.214 4.214 Å, 60.00 60.00 60.00°
Fractional coordinates of all 4 atoms:
Be: 0.000 0.000 0.000
Zn: 0.500 0.500 0.500
Pt: 0.250 0.250 0.250
Pt: 0.750 0.750 0.750

Summary:
ρ   14.6 g cm⁻³
Relative energy among the computed polymorphs   131 meV per atom
Space-group type   Fm-3m, No. 225



# 2
Hf6Rh3N | PBE-GGA | relaxed

Cell: 5.696 7.238 8.815 Å, 90.00 86.77 90.00°
Fractional coordinates of all 20 atoms:
Hf: 0.670 0.147 0.952
Hf: 0.649 0.229 0.573
Hf: 0.667 0.438 0.262
Hf: 0.333 0.562 0.738
Hf: 0.351 0.771 0.427
Hf: 0.330 0.853 0.048
Hf: 0.170 0.353 0.452
Hf: 0.149 0.271 0.073
Hf: 0.167 0.062 0.762
Hf: 0.833 0.938 0.238
Hf: 0.851 0.729 0.927
Hf: 0.830 0.647 0.548
Rh: 0.596 0.902 0.718
Rh: 0.500 0.500 0.000
Rh: 0.404 0.098 0.282
Rh: 0.096 0.598 0.218
Rh: 0.000 0.000 0.500
Rh: 0.904 0.402 0.782
N: 0.500 0.500 0.500
N: 0.000 0.000 0.000

Summary:
ρ   12.8 g cm⁻³
Space-group type   P2_1/c, No. 14
ΔE_f (raw)   -0.788 eV/atom



Taking the records one at a time from the top gives energy values of -4.818; -9.798 eV/atom.
Taking the records one at a time from the top gives D(E_F) values of 0.50; 0.73 states/eV/atom.